[1]
# BaMnBe4 (PBE, relaxed)
# - DFT formation energy: 0.5873 eV per atom
# - Calculated density: 4.36 g cm⁻³
# - DOS(E_F): 0.20 states/eV/atom
data_BaMnBe4
_chemical_formula_sum 'Ba1 Mn1 Be4'
_cell_length_a 4.974
_cell_length_b 4.974
_cell_length_c 4.974
_cell_angle_alpha 60.00
_cell_angle_beta 60.00
_cell_angle_gamma 60.00
_symmetry_space_group_name_H-M 'P 1'
_symmetry_Int_Tables_number 1
loop_
_symmetry_equiv_pos_as_xyz
'x,y,z'
loop_
_atom_site_label
_atom_site_type_symbol
_atom_site_fract_x
_atom_site_fract_y
_atom_site_fract_z
Ba1 Ba 0.000 0.000 0.000
Mn1 Mn 0.250 0.250 0.250
Be1 Be 0.154 0.615 0.615
Be2 Be 0.615 0.154 0.615
Be3 Be 0.615 0.615 0.154
Be4 Be 0.615 0.615 0.615



[2]
# CePmAgPd (PBE, relaxed)
# - DFT formation energy: -0.3970 eV per atom
# - Calculated density: 8.46 g cm⁻³
# - DOS(E_F): 2.29 states/eV/atom
data_CePmAgPd
_chemical_formula_sum 'Ce1 Pm1 Ag1 Pd1'
_cell_length_a 5.175
_cell_length_b 5.175
_cell_length_c 5.175
_cell_angle_alpha 60.00
_cell_angle_beta 60.00
_cell_angle_gamma 60.00
_symmetry_space_group_name_H-M 'P 1'
_symmetry_Int_Tables_number 1
loop_
_symmetry_equiv_pos_as_xyz
'x,y,z'
loop_
_atom_site_label
_atom_site_type_symbol
_atom_site_fract_x
_atom_site_fract_y
_atom_site_fract_z
Ce1 Ce 0.000 0.000 0.000
Pm1 Pm 0.500 0.500 0.500
Ag1 Ag 0.750 0.750 0.750
Pd1 Pd 0.250 0.250 0.250



[3]
# Hf2Ge4Mo3 (PBE, relaxed)
# - DFT formation energy: -0.4000 eV per atom
# - Calculated density: 10.34 g cm⁻³
# - DOS(E_F): 0.65 states/eV/atom
data_Hf2Ge4Mo3
_chemical_formula_sum 'Hf4 Ge8 Mo6'
_cell_length_a 6.872
_cell_length_b 6.888
_cell_length_c 6.749
_cell_angle_alpha 90.00
_cell_angle_beta 109.87
_cell_angle_gamma 90.00
_symmetry_space_group_name_H-M 'P 1'
_symmetry_Int_Tables_number 1
loop_
_symmetry_equiv_pos_as_xyz
'x,y,z'
loop_
_atom_site_label
_atom_site_type_symbol
_atom_site_fract_x
_atom_site_fract_y
_atom_site_fract_z
Hf1 Hf 0.190 0.168 0.052
Hf2 Hf 0.190 0.332 0.552
Hf3 Hf 0.810 0.668 0.448
Hf4 Hf 0.810 0.832 0.948
Ge1 Ge 0.090 0.543 0.852
Ge2 Ge 0.090 0.957 0.352
Ge3 Ge 0.500 0.139 0.863
Ge4 Ge 0.500 0.361 0.363
Ge5 Ge 0.500 0.639 0.637
Ge6 Ge 0.500 0.861 0.137
Ge7 Ge 0.910 0.043 0.648
Ge8 Ge 0.910 0.457 0.148
Mo1 Mo 0.241 0.656 0.251
Mo2 Mo 0.241 0.844 0.751
Mo3 Mo 0.500 0.000 0.500
Mo4 Mo 0.500 0.500 0.000
Mo5 Mo 0.759 0.156 0.249
Mo6 Mo 0.759 0.344 0.749



Question: Which value of DOS(E_F) does entry 1 give?
Answer: 0.20 states/eV/atom



Question: Among the records above, which one has the lowest calculated density?
Answer: BaMnBe4



Question: What is the formula in the second record?
Answer: CePmAgPd



Question: DFT formation energy of number 1 (BaMnBe4)?
Answer: 0.5873 eV per atom